The following is a PBE+U calculation of Li5FeO3F after structural relaxation, from Alexandria.

```
20
Lattice="4.799 -4.817 0.000 4.799 4.817 0.000 -1.323 0.000 4.554" Properties=species:S:1:pos:R:3 pbc="T T T"
Li 2.752 2.720 2.812
Li 0.210 0.000 3.984
Li 3.374 2.057 0.589
Li 5.522 2.720 1.742
Li 4.900 2.057 3.965
Li 3.374 -2.057 0.589
Li 2.752 -2.720 2.812
Li 4.900 -2.057 3.965
Li 8.065 0.000 0.570
Li 5.522 -2.720 1.742
Fe 2.740 0.000 2.889
Fe 5.534 0.000 1.665
O 1.427 1.428 3.422
O 4.137 1.406 2.277
O 1.427 -1.428 3.422
O 6.847 1.428 1.132
O 4.137 -1.406 2.277
O 6.847 -1.428 1.132
F 4.799 3.429 0.000
F 4.799 -3.429 0.000
```

Symmetry = C2/m
Energy relative to the lowest polymorph listed for this composition = 0.0 meV/atom